(1)
## Sr2P (PBEsol)

Data for a relaxed structure of Sr2P.

Geometry as extended XYZ:
```
6
Lattice="4.425 0.000 0.000 0.000 7.141 0.000 0.000 0.000 7.156" Properties=species:S:1:pos:R:3 pbc="T T T"
P 0.000 0.000 0.000
P 2.213 3.571 3.578
Sr 2.213 1.457 1.421
Sr 0.000 5.027 2.157
Sr 0.000 2.114 4.999
Sr 2.213 5.685 5.735
```

## Properties
Formation enthalpy at 0 K = -0.817 eV/atom
DFT total energy = -3.974 eV/atom

(2)
## NiIrRh (PBEsol)

Data for a relaxed structure of NiIrRh.

Geometry as extended XYZ:
```
3
Lattice="3.930 0.000 0.000 1.965 3.404 0.000 1.965 1.135 3.209" Properties=species:S:1:pos:R:3 pbc="T T T"
Rh 0.000 0.000 0.000
Ni 1.965 1.135 0.802
Ir 3.930 2.269 1.605
```

## Properties
Formation enthalpy at 0 K = 0.554 eV/atom
DFT total energy = -7.486 eV/atom
Energy relative to the lowest polymorph listed for this composition = 550 meV/atom

(3)
## LaTa2Os2 (PBEsol)

Data for a relaxed structure of LaTa2Os2.

Geometry as extended XYZ:
```
5
Lattice="-3.434 0.916 2.449 2.403 -0.486 3.552 1.851 5.223 -3.160" Properties=species:S:1:pos:R:3 pbc="T T T"
Ta -0.170 1.620 2.959
Ta 0.991 4.033 -0.119
Os -1.049 3.177 1.145
Os 1.870 2.476 1.696
La 0.000 0.000 0.000
```

## Properties
Formation enthalpy at 0 K = 0.159 eV/atom
DFT total energy = -10.817 eV/atom
Energy relative to the lowest polymorph listed for this composition = 388 meV/atom

(4)
## LaMg2Ir (PBEsol)

Data for a relaxed structure of LaMg2Ir.

Geometry as extended XYZ:
```
4
Lattice="4.083 0.000 0.000 0.000 4.083 0.000 0.000 0.000 5.139" Properties=species:S:1:pos:R:3 pbc="T T T"
La 0.000 0.000 2.570
Mg 0.000 2.042 0.000
Mg 2.042 0.000 0.000
Ir 2.042 2.042 2.570
```

## Properties
Formation enthalpy at 0 K = -0.222 eV/atom
DFT total energy = -4.873 eV/atom

(5)
## InC2S (PBEsol)

Data for a relaxed structure of InC2S.

Geometry as extended XYZ:
```
8
Lattice="-4.299 1.236 1.664 -2.073 -2.630 -3.401 3.219 -2.763 3.523" Properties=species:S:1:pos:R:3 pbc="T T T"
S -3.186 -0.697 -0.868
S -2.133 -1.112 2.160
In 0.000 0.000 0.000
In -1.020 -3.045 -0.373
C 1.456 -2.451 2.160
C -3.398 -0.692 0.932
C -1.406 -2.738 1.822
C -2.956 -2.432 -1.341
```

## Properties
DFT total energy = -5.303 eV/atom
ΔE_f (raw) = 1.36 eV/atom

(6)
## Sr2BeCu (PBEsol)

Data for a relaxed structure of Sr2BeCu.

Geometry as extended XYZ:
```
4
Lattice="4.120 0.000 0.000 0.000 4.661 0.000 0.000 -2.331 5.602" Properties=species:S:1:pos:R:3 pbc="T T T"
Be 0.000 2.331 3.259
Sr 2.060 0.000 4.402
Sr 0.000 0.000 1.194
Cu 2.060 2.331 2.335
```

## Properties
Formation enthalpy at 0 K = 0.166 eV/atom
DFT total energy = -2.838 eV/atom

(7)
## KNi2BP (PBEsol)

Data for a relaxed structure of KNi2BP.

Geometry as extended XYZ:
```
5
Lattice="-1.431 -3.656 0.275 1.525 -0.325 3.614 -4.198 1.788 1.932" Properties=species:S:1:pos:R:3 pbc="T T T"
B 0.000 0.000 0.000
Ni -0.715 -1.828 0.137
Ni 0.762 -0.162 1.807
K -2.099 0.894 0.966
P -2.052 -1.097 2.910
```

## Properties
Formation enthalpy at 0 K = 0.833 eV/atom
DFT total energy = -4.418 eV/atom

(8)
## FeTeRu2 (PBEsol)

Data for a relaxed structure of FeTeRu2.

Geometry as extended XYZ:
```
4
Lattice="-1.553 -2.187 1.138 3.947 -2.642 -0.429 1.231 1.193 3.974" Properties=species:S:1:pos:R:3 pbc="T T T"
Te 2.589 -0.724 1.772
Ru 1.836 -3.652 0.528
Ru 0.558 -1.177 0.181
Fe -0.161 -0.497 2.556
```

## Properties
DFT total energy = -7.660 eV/atom
ΔE_f (raw) = 0.55 eV/atom

(9)
## Zr2CuAs (PBEsol)

Data for a relaxed structure of Zr2CuAs.

Geometry as extended XYZ:
```
4
Lattice="-1.849 1.231 2.986 -0.010 -3.462 1.421 5.309 0.327 0.834" Properties=species:S:1:pos:R:3 pbc="T T T"
Zr 2.394 0.515 1.271
Zr 3.227 -0.222 4.410
As -0.485 0.710 1.726
Cu 0.848 -0.734 3.147
```

## Properties
Formation enthalpy at 0 K = -0.761 eV/atom
DFT total energy = -7.666 eV/atom

(10)
## LaZnSi (PBEsol)

Data for a relaxed structure of LaZnSi.

Geometry as extended XYZ:
```
3
Lattice="-4.432 -0.208 -1.921 -1.177 -3.623 -2.978 -3.106 -3.409 1.451" Properties=species:S:1:pos:R:3 pbc="T T T"
Zn -4.358 -3.620 -1.724
La -2.179 -1.810 -0.862
Si 0.000 0.000 0.000
```

## Properties
DFT total energy = -4.088 eV/atom
ΔE_f (raw) = 0.14 eV/atom

(11)
## ZnAgCl2 (PBEsol)

Data for a relaxed structure of ZnAgCl2.

Geometry as extended XYZ:
```
4
Lattice="-1.150 -2.160 -2.989 3.738 0.086 0.996 -3.012 -4.109 4.129" Properties=species:S:1:pos:R:3 pbc="T T T"
Zn -0.575 -1.080 -1.494
Ag -1.506 -2.054 2.064
Cl 0.828 -1.517 0.778
Cl -1.253 -4.666 1.358
```

## Properties
DFT total energy = -2.491 eV/atom
ΔE_f (raw) = -0.26 eV/atom
Energy relative to the lowest polymorph listed for this composition = 32 meV/atom

(12)
## Ba2OsSe (PBEsol)

Data for a relaxed structure of Ba2OsSe.

Geometry as extended XYZ:
```
4
Lattice="3.758 0.000 0.000 0.000 5.010 0.000 -1.879 -2.505 5.978" Properties=species:S:1:pos:R:3 pbc="T T T"
Se 0.000 2.505 2.174
Ba 1.879 0.000 3.280
Ba 1.879 2.505 5.920
Os 1.879 2.505 0.581
```

## Properties
DFT total energy = -5.214 eV/atom
ΔE_f (raw) = -0.12 eV/atom

(13)
## YSiAs3 (PBEsol)

Data for a relaxed structure of YSiAs3.

Geometry as extended XYZ:
```
5
Lattice="4.748 0.000 0.000 0.000 4.748 0.000 0.000 0.000 4.748" Properties=species:S:1:pos:R:3 pbc="T T T"
Si 0.000 0.000 0.000
As 2.374 0.000 0.000
As 0.000 0.000 2.374
As 0.000 2.374 0.000
Y 2.374 2.374 2.374
```

## Properties
DFT total energy = -5.617 eV/atom
ΔE_f (raw) = -0.04 eV/atom

(14)
## Sr3Au2 (PBEsol)

Data for a relaxed structure of Sr3Au2.

Geometry as extended XYZ:
```
15
Lattice="8.184 -0.004 -0.003 2.622 7.752 -0.003 2.622 1.880 7.521" Properties=species:S:1:pos:R:3 pbc="T T T"
Sr 5.444 6.774 6.724
Sr 7.984 2.855 0.791
Sr 6.714 4.814 3.757
Sr 4.006 2.872 2.242
Sr 9.423 6.756 5.273
Sr 5.266 2.382 6.255
Sr 9.483 2.535 4.937
Sr 8.162 7.247 1.260
Sr 3.945 7.094 2.577
Au 7.746 4.405 6.839
Au 6.657 8.073 4.084
Au 6.771 1.556 3.431
Au 5.682 5.224 0.676
Au 3.646 4.765 4.903
Au 9.782 4.864 2.612
```

## Properties
Formation enthalpy at 0 K = -0.625 eV/atom
DFT total energy = -3.299 eV/atom
Energy relative to the lowest polymorph listed for this composition = 0 meV/atom

(15)
## KBaPO2 (PBEsol)

Data for a relaxed structure of KBaPO2.

Geometry as extended XYZ:
```
5
Lattice="4.932 0.000 0.000 0.000 4.932 0.000 0.000 0.000 6.205" Properties=species:S:1:pos:R:3 pbc="T T T"
O 2.466 0.000 0.000
O 0.000 2.466 0.000
Ba 0.000 0.000 0.000
P 0.000 0.000 3.103
K 2.466 2.466 3.103
```

## Properties
DFT total energy = -4.114 eV/atom
ΔE_f (raw) = -0.20 eV/atom